1.
Computed, not measured: crystalline K2NaCeH6 at its relaxed geometry at the PBE-GGA level of DFT.

Cell lengths 6.4615, 6.4615, 6.4615 Å; angles 60.00, 60.00, 60.00 degrees
With the nearest neighbours (Å) after each atom.
Element x y z (fractional)
K (0.2500, 0.2500, 0.2500)  12 H 3.23
K (0.7500, 0.7500, 0.7500)  12 H 3.23
Na (0.0000, 0.0000, 0.0000)  6 H 2.29
Ce (0.5000, 0.5000, 0.5000)  6 H 2.28
H (0.2503, 0.2503, 0.7497)  1 Ce 2.28, 1 Na 2.29
H (0.2503, 0.7497, 0.2503)  1 Ce 2.28, 1 Na 2.29
H (0.2503, 0.7497, 0.7497)  1 Ce 2.28, 1 Na 2.29
H (0.7497, 0.2503, 0.2503)  1 Ce 2.28, 1 Na 2.29
H (0.7497, 0.2503, 0.7497)  1 Ce 2.28, 1 Na 2.29
H (0.7497, 0.7497, 0.2503)  1 Ce 2.28, 1 Na 2.29

2.
Computed, not measured: crystalline MgReGePb2 at its relaxed geometry at the PBE-GGA level of DFT.

DFT formation energy = 1.013 eV per atom

Cell lengths 5.5440, 5.5440, 4.7357 Å; angles 90.00, 90.00, 90.00 degrees
With the nearest neighbours (Å) after each atom.
Element x y z (fractional)
Mg (0.0000, 0.0000, 0.0000)  8 Pb 3.65, 4 Re 3.92
Re (0.5000, 0.5000, 0.0000)  2 Ge 2.37
Ge (0.5000, 0.5000, 0.5000)  2 Re 2.37
Pb (0.0000, 0.5000, 0.5000)  2 Ge 2.77
Pb (0.5000, 0.0000, 0.5000)  2 Ge 2.77

3.
Computed, not measured: crystalline LiTaIr at its relaxed geometry at the PBE-GGA level of DFT.

DFT formation energy = 0.018 eV per atom
polymorph energy (0 for the lowest one) = 252.1 meV/atom

Cell lengths 7.4126, 7.1942, 2.7527 Å; angles 83.64, 74.70, 21.66 degrees
With the nearest neighbours (Å) after each atom.
Element x y z (fractional)
Li (0.0000, 0.0000, 0.0000)  2 Ir 2.64, 4 Li 2.75
Ta (0.6855, 0.6855, 0.3145)  2 Ir 2.69, 6 Ta 2.75-2.96, 2 Li 3.00
Ir (0.3447, 0.3447, 0.6553)  2 Li 2.64, 2 Ta 2.69, 4 Ir 2.75

4.
Computed, not measured: crystalline TbHo2Er2Mg at its relaxed geometry at the PBE-GGA level of DFT.

DFT formation energy = 0.491 eV per atom

Cell lengths 10.2273, 11.6440, 3.5904 Å; angles 90.00, 90.00, 90.00 degrees
With the nearest neighbours (Å) after each atom.
Element x y z (fractional)
Tb (0.0000, 0.0000, 0.0000)  4 Er 3.24, 4 Ho 3.31, 2 Tb 3.59
Tb (0.5000, 0.5000, 0.5000)  4 Er 3.24, 4 Ho 3.31, 2 Tb 3.59
Ho (0.0925, 0.2241, 0.5000)  2 Tb 3.31, 1 Mg 3.35, 2 Er 3.38, 2 Ho 3.59
Ho (0.4075, 0.7241, 0.0000)  2 Tb 3.31, 1 Mg 3.35, 2 Er 3.38, 2 Ho 3.59
Ho (0.5925, 0.2759, 0.0000)  2 Tb 3.31, 1 Mg 3.35, 2 Er 3.38, 2 Ho 3.59
Ho (0.9075, 0.7759, 0.5000)  2 Tb 3.31, 1 Mg 3.35, 2 Er 3.38, 2 Ho 3.59
Er (0.2493, 0.4276, 0.0000)  2 Mg 3.23, 2 Tb 3.24, 2 Ho 3.38, 2 Er 3.59
Er (0.2507, 0.9276, 0.5000)  2 Mg 3.23, 2 Tb 3.24, 2 Ho 3.38, 2 Er 3.59
Er (0.7493, 0.0724, 0.5000)  2 Mg 3.23, 2 Tb 3.24, 2 Ho 3.38, 2 Er 3.59
Er (0.7507, 0.5724, 0.0000)  2 Mg 3.23, 2 Tb 3.24, 2 Ho 3.38, 2 Er 3.59
Mg (0.0000, 0.5000, 0.5000)  4 Er 3.23, 2 Ho 3.35, 2 Mg 3.59
Mg (0.5000, 0.0000, 0.0000)  4 Er 3.23, 2 Ho 3.35, 2 Mg 3.59

5.
Computed, not measured: crystalline Sn2HgSe at its relaxed geometry at the PBE-GGA level of DFT.

E_form (uncorrected) = -0.11 eV per atom
polymorph energy (0 for the lowest one) = 0.0 meV/atom

Cell lengths 8.2663, 8.2663, 8.2663 Å; angles 27.89, 27.89, 27.89 degrees
With the nearest neighbours (Å) after each atom.
Element x y z (fractional)
Sn (0.2461, 0.2461, 0.2461)  3 Se 2.98, 3 Hg 3.10
Sn (0.7539, 0.7539, 0.7539)  3 Se 2.98, 3 Hg 3.10
Hg (0.0000, 0.0000, 0.0000)  6 Sn 3.10
Se (0.5000, 0.5000, 0.5000)  6 Sn 2.98

6.
Computed, not measured: crystalline CaAlPb3 at its relaxed geometry at the PBE-GGA level of DFT.

DFT formation energy = 0.729 eV per atom
polymorph energy (0 for the lowest one) = 596.7 meV/atom

Cell lengths 5.8393, 5.8393, 5.8393 Å; angles 90.00, 90.00, 90.00 degrees
With the nearest neighbours (Å) after each atom.
Element x y z (fractional)
Ca (0.0000, 0.0000, 0.0000)  6 Pb 2.92
Al (0.5000, 0.5000, 0.5000)  12 Pb 4.13
Pb (0.0000, 0.0000, 0.5000)  2 Ca 2.92
Pb (0.0000, 0.5000, 0.0000)  2 Ca 2.92
Pb (0.5000, 0.0000, 0.0000)  2 Ca 2.92

The records above yield D(E_F) values of 8.79; 3.37; 2.24; 15.68; 2.17; 5.32 states/eV per cell, respectively.
The records above yield E_tot values of -0.1131; -0.1544; -0.2765; -0.1321; -0.1125; -0.0972 hartree per atom, respectively.